This record from the Alexandria database describes ZnMoPb after structural relaxation. The functional is GGA-PBE.

a = 3.0967 Å, b = 3.0967 Å, c = 7.2021 Å
α = 90.00°, β = 90.00°, γ = 120.00°
Sites, in units of the cell vectors:
Zn: 0.3333 0.6667 0.6972
Pb: 0.6667 0.3333 0.3235
Mo: 0.0000 0.0000 0.9792

Calculated values
**Magnetic moment**: 0.00 μB/f.u.
**Polymorph energy (0 for the lowest one)**: 3.6 kJ per mole of atoms
**DOS(E_F)**: 2.13 states/eV per cell
**Raw total energy**: -4.68 eV per atom
**SG**: P3m1

***

This record from the Alexandria database describes Th2HgGe3Pd4 after structural relaxation. The functional is GGA-PBE.

a = 4.2740 Å, b = 4.2740 Å, c = 10.9522 Å
α = 90.00°, β = 90.00°, γ = 90.00°
Sites, in units of the cell vectors:
Ge: 0.0000 0.5000 0.1246
Ge: 0.5000 0.0000 0.8754
Ge: 0.0000 0.0000 0.5000
Pd: 0.5000 0.5000 0.0000
Pd: 0.0000 0.5000 0.3460
Pd: 0.0000 0.0000 0.0000
Pd: 0.5000 0.0000 0.6540
Hg: 0.5000 0.5000 0.5000
Th: 0.5000 0.0000 0.2386
Th: 0.0000 0.5000 0.7614

Calculated values
**Magnetic moment**: 0.00 μB/f.u.
**DOS(E_F)**: 8.17 states/eV per cell
**Raw total energy**: -5.66 eV per atom
**SG**: P-4m2

***

This record from the Alexandria database describes Cr2FeSi2 after structural relaxation. The functional is GGA-PBE.

a = 5.9004 Å, b = 5.9004 Å, c = 3.4675 Å
α = 90.00°, β = 90.00°, γ = 90.00°
Each line ends with the local moment (μB).
Sites, in units of the cell vectors:
Fe: 0.0000 0.0000 0.0000  1.19
Fe: 0.5000 0.5000 0.0000  1.19
Si: 0.3597 0.8597 0.0000  -0.05
Si: 0.8597 0.6403 0.0000  -0.05
Si: 0.1403 0.3597 0.0000  -0.05
Si: 0.6403 0.1403 0.0000  -0.05
Cr: 0.8344 0.3344 0.5000  0.95
Cr: 0.1656 0.6656 0.5000  0.95
Cr: 0.6656 0.8344 0.5000  0.94
Cr: 0.3344 0.1656 0.5000  0.94

Calculated values
**Magnetic moment**: 2.98 μB/f.u.
**DOS(E_F)**: 8.37 states/eV per cell
**Raw total energy**: -7.88 eV per atom
**SG**: P4/mbm
**ΔE_f (raw)**: -0.172 eV/atom

***

This record from the Alexandria database describes TaHgTe3 after structural relaxation. The functional is GGA-PBE.

a = 5.4223 Å, b = 5.4223 Å, c = 5.4223 Å
α = 90.00°, β = 90.00°, γ = 90.00°
Sites, in units of the cell vectors:
Hg: 0.0000 0.0000 0.0000
Ta: 0.5000 0.5000 0.5000
Te: 0.0000 0.0000 0.5000
Te: 0.5000 0.0000 0.0000
Te: 0.0000 0.5000 0.0000

Calculated values
**Magnetic moment**: 0.00 μB/f.u.
**Polymorph energy (0 for the lowest one)**: 152.8 kJ per mole of atoms
**DOS(E_F)**: 8.45 states/eV per cell
**Raw total energy**: -2.85 eV per atom
**SG**: Pm-3m
**ΔE_f (raw)**: 1.468 eV/atom

***

This record from the Alexandria database describes LiHo3Te8Pb3 after structural relaxation. The functional is GGA-PBE.

a = 8.8318 Å, b = 8.8317 Å, c = 9.0733 Å
α = 119.12°, β = 90.00°, γ = 120.00°
Sites, in units of the cell vectors:
Te: 0.2551 0.5103 0.2654
Te: 0.2431 0.4862 0.7278
Te: 0.2432 0.9847 0.7279
Te: 0.7449 0.4897 0.7346
Te: 0.7415 0.9847 0.7279
Te: 0.7569 0.5138 0.2722
Te: 0.7568 0.0153 0.2721
Te: 0.2585 0.0153 0.2721
Li: 0.0000 0.0000 0.5000
Pb: 0.0000 0.5000 0.0000
Pb: 0.0000 0.0000 0.0000
Pb: 0.5000 0.5000 0.0000
Ho: 0.5000 0.0000 0.5000
Ho: 0.0000 0.5000 0.5000
Ho: 0.5000 0.5000 0.5000

Calculated values
**Magnetic moment**: 0.00 μB/f.u.
**Raw total energy**: -4.33 eV per atom
**SG**: R-3m
**ΔE_f (raw)**: -0.874 eV/atom

***

This record from the Alexandria database describes Sr3Ga5Pt6 after structural relaxation. The functional is GGA-PBE.

a = 4.1222 Å, b = 10.9126 Å, c = 12.8199 Å
α = 90.00°, β = 90.00°, γ = 90.00°
Sites, in units of the cell vectors:
Ga: 0.5000 0.4868 0.6325
Ga: 0.5000 0.1470 0.8255
Ga: 0.5000 0.4868 0.3675
Ga: 0.5000 0.1470 0.1745
Ga: 0.0000 0.5132 0.1325
Ga: 0.0000 0.8530 0.6745
Ga: 0.0000 0.8530 0.3255
Ga: 0.0000 0.5132 0.8675
Ga: 0.5000 0.1077 0.5000
Ga: 0.0000 0.8923 0.0000
Pt: 0.5000 0.0264 0.0000
Pt: 0.0000 0.0098 0.1709
Pt: 0.5000 0.9902 0.3291
Pt: 0.0000 0.0098 0.8291
Pt: 0.0000 0.9736 0.5000
Pt: 0.0000 0.6211 0.6898
Pt: 0.0000 0.6211 0.3102
Pt: 0.0000 0.4931 0.5000
Pt: 0.5000 0.9902 0.6709
Pt: 0.5000 0.3789 0.1898
Pt: 0.5000 0.3789 0.8102
Pt: 0.5000 0.5069 0.0000
Sr: 0.5000 0.7367 0.5000
Sr: 0.0000 0.2542 0.3470
Sr: 0.0000 0.2633 0.0000
Sr: 0.5000 0.7458 0.8470
Sr: 0.5000 0.7458 0.1530
Sr: 0.0000 0.2542 0.6530

Calculated values
**Magnetic moment**: 0.00 μB/f.u.
**DOS(E_F)**: 9.96 states/eV per cell
**Raw total energy**: -4.84 eV per atom
**SG**: Pmmn

***

This record from the Alexandria database describes KSeCl2 after structural relaxation. The functional is GGA-PBE.

a = 7.5842 Å, b = 7.5842 Å, c = 7.5842 Å
α = 34.75°, β = 34.75°, γ = 34.75°
Each line ends with the local moment (μB).
Sites, in units of the cell vectors:
Se: 0.7500 0.7500 0.7500  1.46
Cl: 0.9999 0.9999 0.9999  0.28
Cl: 0.5001 0.5001 0.5001  0.28
K: 0.2500 0.2500 0.2500  0.01

Calculated values
**Magnetic moment**: 3.00 μB/f.u.
**Polymorph energy (0 for the lowest one)**: 29.8 kJ per mole of atoms
**DOS(E_F)**: 0.49 states/eV per cell
**Raw total energy**: -2.61 eV per atom
**SG**: R-3m
**ΔE_f (raw)**: -0.541 eV/atom

***

This record from the Alexandria database describes CeNd3N3 after structural relaxation. The functional is GGA-PBE.

a = 5.3290 Å, b = 8.2120 Å, c = 8.2120 Å
α = 120.00°, β = 90.00°, γ = 90.00°
Each line ends with the local moment (μB).
Sites, in units of the cell vectors:
Nd: 0.2500 0.6676 0.8340  0.07
Nd: 0.2500 0.1660 0.8337  0.07
Nd: 0.7500 0.8340 0.1663  0.07
Nd: 0.7500 0.8337 0.6676  0.07
Nd: 0.7500 0.3324 0.1660  0.07
Nd: 0.2500 0.1663 0.3324  0.07
N: 0.7500 0.1696 0.8300  -0.02
N: 0.2500 0.8304 0.1700  -0.02
N: 0.2500 0.3396 0.1696  -0.02
N: 0.7500 0.6604 0.8304  -0.02
N: 0.7500 0.1700 0.3396  -0.02
N: 0.2500 0.8300 0.6604  -0.02
Ce: 0.7500 0.3333 0.6667  0.56
Ce: 0.2500 0.6667 0.3333  0.56

Calculated values
**Magnetic moment**: 1.28 μB/f.u.
**Polymorph energy (0 for the lowest one)**: 0.0 kJ per mole of atoms
**DOS(E_F)**: 12.35 states/eV per cell
**Raw total energy**: -7.52 eV per atom
**SG**: P6_3/mmc
**ΔE_f (raw)**: -1.062 eV/atom

***

Repeat the fourth record exactly.
This record from the Alexandria database describes TaHgTe3 after structural relaxation. The functional is GGA-PBE.

a = 5.4223 Å, b = 5.4223 Å, c = 5.4223 Å
α = 90.00°, β = 90.00°, γ = 90.00°
Sites, in units of the cell vectors:
Hg: 0.0000 0.0000 0.0000
Ta: 0.5000 0.5000 0.5000
Te: 0.0000 0.0000 0.5000
Te: 0.5000 0.0000 0.0000
Te: 0.0000 0.5000 0.0000

Calculated values
**Magnetic moment**: 0.00 μB/f.u.
**Polymorph energy (0 for the lowest one)**: 152.8 kJ per mole of atoms
**DOS(E_F)**: 8.45 states/eV per cell
**Raw total energy**: -2.85 eV per atom
**SG**: Pm-3m
**ΔE_f (raw)**: 1.468 eV/atom

***

Question: Which value of magnetic moment does entry 4 give?
Answer: 0.00 μB/f.u.